Record 1
Below is a relaxed Zn2SbAs crystal, with properties calculated at the PBE-GGA level.

a b c (Å): 4.5024 3.8399 5.2003
angles (deg): 90.00 107.03 90.00
Last column: nearest neighbours and their distance in Å.
Positions (direct):
1 Zn 0.2056 0.0000 0.2584  2 As 2.61, 1 Zn 2.78, 2 Sb 2.88
2 Zn 0.7944 0.0000 0.7416  2 As 2.61, 1 Zn 2.78, 2 Sb 2.88
3 Sb 0.5000 0.5000 0.0000  4 Zn 2.88, 2 As 2.90
4 As 0.0000 0.5000 0.5000  4 Zn 2.61, 2 Sb 2.90

Calculated values
- DOS(E_F) (states/eV/cell) = 1.65
- energy relative to the lowest polymorph listed for this composition (meV per atom) = 75
- ρ (g/cm³) = 6.3
- ΔE_f (raw) (eV per atom) = 0.11
- uncorrected energy (eV/atom) = -2.72


Record 2
Below is a relaxed Zn2Sb2As crystal, with properties calculated at the PBE-GGA level.

a b c (Å): 3.7818 3.7818 15.4948
angles (deg): 90.00 90.00 90.00
Last column: nearest neighbours and their distance in Å.
Positions (direct):
1 Zn 0.0000 0.5000 0.2500  4 Zn 2.67, 4 Sb 2.91
2 Zn 0.0000 0.5000 0.7500  4 Zn 2.67, 4 Sb 2.91
3 Zn 0.5000 0.0000 0.2500  4 Zn 2.67, 4 Sb 2.91
4 Zn 0.5000 0.0000 0.7500  4 Zn 2.67, 4 Sb 2.91
5 Sb 0.0000 0.0000 0.1074  4 Zn 2.91, 4 As 3.15
6 Sb 0.0000 0.0000 0.8926  4 Zn 2.91, 4 As 3.15
7 Sb 0.5000 0.5000 0.3926  4 Zn 2.91, 4 As 3.15
8 Sb 0.5000 0.5000 0.6074  4 Zn 2.91, 4 As 3.15
9 As 0.0000 0.0000 0.5000  8 Sb 3.15
10 As 0.5000 0.5000 0.0000  8 Sb 3.15

Calculated values
- DOS(E_F) (states/eV/cell) = 5.54
- energy relative to the lowest polymorph listed for this composition (meV per atom) = 4
- ρ (g/cm³) = 6.7
- ΔE_f (raw) (eV per atom) = 0.23
- uncorrected energy (eV/atom) = -2.85


Record 3
Below is a relaxed ZnSbAs2 crystal, with properties calculated at the PBE-GGA level.

a b c (Å): 6.7003 3.8458 7.0941
angles (deg): 90.00 108.06 90.00
Last column: nearest neighbours and their distance in Å.
Positions (direct):
1 Zn 0.0000 0.0000 0.0000  3 As 2.64, 3 Sb 2.91-2.92
2 Zn 0.5000 0.5000 0.0000  3 As 2.64, 3 Sb 2.91-2.92
3 Sb 0.2400 0.0000 0.7210  3 As 2.87, 3 Zn 2.91-2.92
4 Sb 0.7400 0.5000 0.7210  3 As 2.87, 3 Zn 2.91-2.92
5 As 0.2372 0.5000 0.2114  3 Zn 2.64, 3 As 2.75-2.76
6 As 0.4841 0.0000 0.4521  3 As 2.75-2.76, 3 Sb 2.87
7 As 0.7372 0.0000 0.2114  3 Zn 2.64, 3 As 2.75-2.76
8 As 0.9841 0.5000 0.4521  3 As 2.75-2.76, 3 Sb 2.87

Calculated values
- DOS(E_F) (states/eV/cell) = 3.00
- energy relative to the lowest polymorph listed for this composition (meV per atom) = 61
- ρ (g/cm³) = 6.4
- ΔE_f (raw) (eV per atom) = 0.10
- uncorrected energy (eV/atom) = -3.57


Record 4
Below is a relaxed Zn2SbAs crystal, with properties calculated at the PBE-GGA level.

a b c (Å): 3.2334 3.2334 27.2756
angles (deg): 90.00 90.00 120.00
Last column: nearest neighbours and their distance in Å.
Positions (direct):
1 Zn 0.0000 0.0000 0.0000  3 Zn 2.69, 3 As 2.69
2 Zn 0.0000 0.0000 0.2625  3 Zn 2.69, 3 Sb 2.97
3 Zn 0.3333 0.6667 0.6667  3 Zn 2.69, 3 As 2.69
4 Zn 0.3333 0.6667 0.9292  3 Zn 2.69, 3 Sb 2.97
5 Zn 0.6667 0.3333 0.3333  3 Zn 2.69, 3 As 2.69
6 Zn 0.6667 0.3333 0.5959  3 Zn 2.69, 3 Sb 2.97
7 Sb 0.0000 0.0000 0.5112  3 Zn 2.97, 6 Sb 3.23
8 Sb 0.3333 0.6667 0.1779  3 Zn 2.97, 6 Sb 3.23
9 Sb 0.6667 0.3333 0.8446  3 Zn 2.97, 6 Sb 3.23
10 As 0.0000 0.0000 0.7375  3 Zn 2.69
11 As 0.3333 0.6667 0.4042  3 Zn 2.69
12 As 0.6667 0.3333 0.0709  3 Zn 2.69

Calculated values
- DOS(E_F) (states/eV/cell) = 6.49
- energy relative to the lowest polymorph listed for this composition (meV per atom) = 215
- ρ (g/cm³) = 6.6
- ΔE_f (raw) (eV per atom) = 0.25
- uncorrected energy (eV/atom) = -2.58


Q: What is the ρ in the first record?
A: 6.3 g/cm³


Q: Number 1 is which compound?
A: Zn2SbAs


Q: Which of these has the lowest uncorrected energy?
A: ZnSbAs2